HoErH, relaxed, DFT PBE; space group = I4mm, No. 107; V = 66.1 Å³ per cell; DFT total energy = -4.279 eV per atom
1.0
3.323 0.000 0.000
0.000 3.323 0.000
-1.662 -1.662 5.983
H Ho Er
1 1 1
Cartesian
0.000 0.000 2.628
1.662 1.662 2.924
0.000 0.000 0.431